No. 1
This record from Alexandria describes a relaxed PmZnGaNi3 crystal. The functional is GGA-PBE.

The space group is Cmcm (No. 63) and the conventional cell measures 5.614, 11.879 and 5.828 Å, with angles of 90.00, 90.00 and 90.00 degrees. Symmetry generates all atoms from Pm at (0.000, 0.192, 0.250), Zn at (0.000, 0.429, 0.250), Ga at (0.000, 0.139, 0.750), Ni at (0.000, 0.352, 0.750) and Ni at (0.214, 0.000, 0.000).

As for the total moment: 0.00 μB per formula unit. The calculation puts the calculated formation energy at -0.1997 eV per atom.

No. 2
This record from Alexandria describes a relaxed LiSc3Se4 crystal. The functional is GGA-PBE.

The space group is Pmn2_1 (No. 31) and the conventional cell measures 8.818, 8.047 and 5.417 Å, with angles of 90.00, 90.00 and 90.00 degrees. Symmetry generates all atoms from Li at (0.000, 0.115, 0.000), Sc at (0.000, 0.776, 0.501), Sc at (0.223, 0.340, 0.501), Se at (0.000, 0.111, 0.501), Se at (0.000, 0.788, 0.001) and Se at (0.215, 0.337, 0.001).

As for the total moment: 0.65 μB per formula unit. The calculation puts the uncorrected formation energy at -1.47 eV per atom. The calculation puts the energy above the lowest structure with this stoichiometry at 1.17 eV per formula unit.

No. 3
This record from Alexandria describes a relaxed CePrAl4 crystal. The functional is GGA-PBE.

The space group is F-43m (No. 216) and the conventional cell measures 8.028, 8.028 and 8.028 Å, with angles of 90.00, 90.00 and 90.00 degrees. Symmetry generates all atoms from Ce at (0.000, 0.000, 0.000), Pr at (0.250, 0.250, 0.750) and Al at (0.126, 0.126, 0.374).

As for the total moment: 0.68 μB per formula unit. The calculation puts the calculated formation energy at -0.4569 eV per atom.